# YAsI3, optimized geometry, DFT GGA-PBEsol
# ρ   4.35 Mg/m³
# Volume   41.58 A^3/atom
# Space group   Pm-3m
# Formation energy without anion corrections   -0.3652 eV per atom
data_YAsI3
_chemical_formula_sum 'Y1 As1 I3'
_space_group_name_H-M_alt 'P 1'
_space_group_IT_number 1
_space_group_name_Hall 'P 1'
_cell_length_a 5.9241
_cell_length_b 5.9241
_cell_length_c 5.9241
_cell_angle_alpha 90.00
_cell_angle_beta 90.00
_cell_angle_gamma 90.00
loop_
_atom_site_label
_atom_site_fract_x
_atom_site_fract_y
_atom_site_fract_z
As1 0.5000 0.5000 0.5000
I1 0.0000 0.5000 0.0000
Y1 0.0000 0.0000 0.0000
I2 0.0000 0.0000 0.5000
I3 0.5000 0.0000 0.0000

=====

# ScCdPb2, optimized geometry, DFT GGA-PBEsol
# DOS at the Fermi energy   2.2 states/eV/cell
# ρ   9.92 Mg/m³
# Volume   23.93 A^3/atom
# Space group   P4/mmm
# Formation energy   -0.2196 eV per atom
data_ScCdPb2
_chemical_formula_sum 'Sc1 Cd1 Pb2'
_space_group_name_H-M_alt 'P 1'
_space_group_IT_number 1
_space_group_name_Hall 'P 1'
_cell_length_a 4.2708
_cell_length_b 4.7347
_cell_length_c 4.7347
_cell_angle_alpha 90.00
_cell_angle_beta 90.00
_cell_angle_gamma 90.00
loop_
_atom_site_label
_atom_site_fract_x
_atom_site_fract_y
_atom_site_fract_z
Sc1 0.5000 0.5000 0.5000
Pb1 0.0000 0.5000 0.0000
Pb2 0.0000 0.0000 0.5000
Cd1 0.5000 0.0000 0.0000

=====

# Te2As, optimized geometry, DFT GGA-PBEsol
# DOS at the Fermi energy   3.5 states/eV/cell
# ρ   6.63 Mg/m³
# Volume   27.54 A^3/atom
# Energy above the lowest structure with this stoichiometry   31.9 meV/atom
# Space group   Pnma
# Formation energy without anion corrections   0.0636 eV per atom
data_Te2As
_chemical_formula_sum 'Te8 As4'
_space_group_name_H-M_alt 'P 1'
_space_group_IT_number 1
_space_group_name_Hall 'P 1'
_cell_length_a 4.0051
_cell_length_b 8.4964
_cell_length_c 9.7136
_cell_angle_alpha 90.00
_cell_angle_beta 90.00
_cell_angle_gamma 90.00
loop_
_atom_site_label
_atom_site_fract_x
_atom_site_fract_y
_atom_site_fract_z
Te1 0.2500 0.5633 0.3365
As1 0.2500 0.6604 0.5944
As2 0.7500 0.3396 0.4056
Te2 0.7500 0.4367 0.6635
Te3 0.2500 0.1308 0.5440
Te4 0.7500 0.3692 0.0440
Te5 0.7500 0.9367 0.8365
As3 0.2500 0.1604 0.9056
Te6 0.7500 0.8692 0.4560
As4 0.7500 0.8396 0.0944
Te7 0.2500 0.0633 0.1635
Te8 0.2500 0.6308 0.9560

=====

# Sr2InCu, optimized geometry, DFT GGA-PBEsol
# DOS at the Fermi energy   3.2 states/eV/cell
# ρ   4.68 Mg/m³
# Volume   31.36 A^3/atom
# Space group   Amm2
# Formation energy   -0.1801 eV per atom
data_Sr2InCu
_chemical_formula_sum 'Sr2 In1 Cu1'
_space_group_name_H-M_alt 'P 1'
_space_group_IT_number 1
_space_group_name_Hall 'P 1'
_cell_length_a 4.6060
_cell_length_b 4.7326
_cell_length_c 6.2223
_cell_angle_alpha 112.35
_cell_angle_beta 90.00
_cell_angle_gamma 90.00
loop_
_atom_site_label
_atom_site_fract_x
_atom_site_fract_y
_atom_site_fract_z
Cu1 0.0000 0.6804 0.3608
Sr1 0.5000 0.2697 0.5393
In1 0.5000 0.5689 0.1379
Sr2 0.0000 0.9804 0.9609

=====

# LaGeOs3, optimized geometry, DFT GGA-PBEsol
# DOS at the Fermi energy   6.7 states/eV/cell
# ρ   13.45 Mg/m³
# Volume   19.32 A^3/atom
# Space group   Pm-3m
# Formation energy   0.8718 eV per atom
data_LaGeOs3
_chemical_formula_sum 'La1 Ge1 Os3'
_space_group_name_H-M_alt 'P 1'
_space_group_IT_number 1
_space_group_name_Hall 'P 1'
_cell_length_a 4.5884
_cell_length_b 4.5884
_cell_length_c 4.5884
_cell_angle_alpha 90.00
_cell_angle_beta 90.00
_cell_angle_gamma 90.00
loop_
_atom_site_label
_atom_site_fract_x
_atom_site_fract_y
_atom_site_fract_z
Os1 0.5000 0.0000 0.0000
Ge1 0.0000 0.0000 0.0000
Os2 0.0000 0.5000 0.0000
La1 0.5000 0.5000 0.5000
Os3 0.0000 0.0000 0.5000

=====

# KZnCd2, optimized geometry, DFT GGA-PBEsol
# DOS at the Fermi energy   1.9 states/eV/cell
# ρ   5.23 Mg/m³
# Volume   26.15 A^3/atom
# Space group   Cm
# Formation energy   0.1109 eV per atom
data_KZnCd2
_chemical_formula_sum 'K1 Zn1 Cd2'
_space_group_name_H-M_alt 'P 1'
_space_group_IT_number 1
_space_group_name_Hall 'P 1'
_cell_length_a 3.2434
_cell_length_b 4.9336
_cell_length_c 6.9900
_cell_angle_alpha 97.63
_cell_angle_beta 90.00
_cell_angle_gamma 109.19
loop_
_atom_site_label
_atom_site_fract_x
_atom_site_fract_y
_atom_site_fract_z
Cd1 0.0042 0.0085 0.0284
Cd2 0.2617 0.5233 0.8237
K1 0.4956 0.9912 0.4905
Zn1 0.7385 0.4770 0.1574

=====

# ZnSb, optimized geometry, DFT GGA-PBEsol
# DOS at the Fermi energy   2.1 states/eV/cell
# ρ   7.43 Mg/m³
# Volume   20.92 A^3/atom
# Space group   Cmme
# Formation energy without anion corrections   0.1953 eV per atom
data_ZnSb
_chemical_formula_sum 'Zn2 Sb2'
_space_group_name_H-M_alt 'P 1'
_space_group_IT_number 1
_space_group_name_Hall 'P 1'
_cell_length_a 3.2520
_cell_length_b 3.2520
_cell_length_c 8.0801
_cell_angle_alpha 90.00
_cell_angle_beta 90.00
_cell_angle_gamma 101.68
loop_
_atom_site_label
_atom_site_fract_x
_atom_site_fract_y
_atom_site_fract_z
Zn1 0.7500 0.2500 0.4087
Zn2 0.2500 0.7500 0.5913
Sb1 0.7500 0.2500 0.8352
Sb2 0.2500 0.7500 0.1648

=====

# ZnOsPb2, optimized geometry, DFT GGA-PBEsol
# DOS at the Fermi energy   2.7 states/eV/cell
# ρ   13.96 Mg/m³
# Volume   19.92 A^3/atom
# Space group   I-4m2
# Formation energy   0.8361 eV per atom
data_ZnOsPb2
_chemical_formula_sum 'Zn1 Os1 Pb2'
_space_group_name_H-M_alt 'P 1'
_space_group_IT_number 1
_space_group_name_Hall 'P 1'
_cell_length_a 4.2387
_cell_length_b 4.2387
_cell_length_c 5.3528
_cell_angle_alpha 113.32
_cell_angle_beta 113.32
_cell_angle_gamma 90.00
loop_
_atom_site_label
_atom_site_fract_x
_atom_site_fract_y
_atom_site_fract_z
Zn1 0.5000 0.5000 0.0000
Os1 0.2500 0.7500 0.5000
Pb1 0.7500 0.2500 0.5000
Pb2 0.0000 0.0000 0.0000

=====

# NaMg2TaAs, optimized geometry, DFT GGA-PBEsol
# DOS at the Fermi energy   3.7 states/eV/cell
# ρ   4.39 Mg/m³
# Volume   24.79 A^3/atom
# Energy above the lowest structure with this stoichiometry   0.0 meV/atom
# Space group   P4/mmm
# Formation energy   0.5381 eV per atom
data_NaMg2TaAs
_chemical_formula_sum 'Na1 Mg2 Ta1 As1'
_space_group_name_H-M_alt 'P 1'
_space_group_IT_number 1
_space_group_name_Hall 'P 1'
_cell_length_a 4.8503
_cell_length_b 5.0553
_cell_length_c 5.0553
_cell_angle_alpha 90.00
_cell_angle_beta 90.00
_cell_angle_gamma 90.00
loop_
_atom_site_label
_atom_site_fract_x
_atom_site_fract_y
_atom_site_fract_z
Mg1 0.0000 0.5000 0.0000
Na1 0.5000 0.5000 0.5000
As1 0.0000 0.0000 0.0000
Mg2 0.0000 0.0000 0.5000
Ta1 0.5000 0.0000 0.0000

=====

# Cr2RuPbC, optimized geometry, DFT GGA-PBEsol
# DOS at the Fermi energy   3.8 states/eV/cell
# ρ   6.64 Mg/m³
# Volume   21.21 A^3/atom
# Space group   P4/mmm
# Formation energy   2.2368 eV per atom
data_Cr2RuPbC
_chemical_formula_sum 'Cr2 Ru1 Pb1 C1'
_space_group_name_H-M_alt 'P 1'
_space_group_IT_number 1
_space_group_name_Hall 'P 1'
_cell_length_a 4.5638
_cell_length_b 4.5638
_cell_length_c 5.0918
_cell_angle_alpha 90.00
_cell_angle_beta 90.00
_cell_angle_gamma 90.00
loop_
_atom_site_label
_atom_site_fract_x
_atom_site_fract_y
_atom_site_fract_z
C1 0.5000 0.5000 0.5000
Cr1 0.0000 0.5000 0.0000
Ru1 0.0000 0.0000 0.0000
Cr2 0.5000 0.0000 0.0000
Pb1 0.0000 0.0000 0.5000

=====

# CaMo2Br, optimized geometry, DFT GGA-PBEsol
# DOS at the Fermi energy   4.1 states/eV/cell
# ρ   7.19 Mg/m³
# Volume   18.01 A^3/atom
# Energy above the lowest structure with this stoichiometry   224.4 meV/atom
# Space group   I-4m2
# Formation energy without anion corrections   0.7679 eV per atom
data_CaMo2Br
_chemical_formula_sum 'Ca1 Mo2 Br1'
_space_group_name_H-M_alt 'P 1'
_space_group_IT_number 1
_space_group_name_Hall 'P 1'
_cell_length_a 4.6601
_cell_length_b 4.6760
_cell_length_c 4.6601
_cell_angle_alpha 60.11
_cell_angle_beta 90.00
_cell_angle_gamma 119.89
loop_
_atom_site_label
_atom_site_fract_x
_atom_site_fract_y
_atom_site_fract_z
Mo1 0.2500 0.5000 0.2500
Mo2 0.0000 0.0000 0.0000
Br1 0.5000 0.0000 0.5000
Ca1 0.7500 0.5000 0.7500

=====

# CaCr4Ir, optimized geometry, DFT GGA-PBEsol
# DOS at the Fermi energy   7.3 states/eV/cell
# ρ   9.01 Mg/m³
# Volume   13.52 A^3/atom
# Space group   F-43m
# Formation energy   0.3960 eV per atom
data_CaCr4Ir
_chemical_formula_sum 'Ca1 Cr4 Ir1'
_space_group_name_H-M_alt 'P 1'
_space_group_IT_number 1
_space_group_name_Hall 'P 1'
_cell_length_a 4.8591
_cell_length_b 4.8591
_cell_length_c 4.8591
_cell_angle_alpha 60.00
_cell_angle_beta 60.00
_cell_angle_gamma 60.00
loop_
_atom_site_label
_atom_site_fract_x
_atom_site_fract_y
_atom_site_fract_z
Cr1 0.8780 0.3740 0.3740
Cr2 0.3740 0.3740 0.8780
Cr3 0.3740 0.3740 0.3740
Cr4 0.3740 0.8780 0.3740
Ir1 0.7500 0.7500 0.7500
Ca1 0.0000 0.0000 0.0000